{
  "formula": "CsLaFeF6",
  "functional": "PBE+U",
  "state": "optimized geometry",
  "vol_a3_per_atom": 22.44,
  "energy_ev_per_atom": -5.767,
  "space_group": "No. 5",
  "m_tot_mub_per_cell": 4.00,
  "lattice_angstrom": [[3.0114, -5.3019, 0.0000], [3.0114, 5.3019, 0.0000], [-0.0502, 0.0000, 6.3242]],
  "species": ["Cs", "La", "Fe", "F", "F", "F", "F", "F", "F"],
  "fractional_positions": [[0.0000, 0.0000, 0.0000], [0.3346, 0.6654, 0.5000], [0.6633, 0.3367, 0.5000], [0.3973, 0.0336, 0.3208], [0.3971, 0.3777, 0.6930], [0.6223, 0.6029, 0.3070], [0.6282, 0.0255, 0.6897], [0.9664, 0.6027, 0.6792], [0.9745, 0.3718, 0.3103]]
}